Entry 1:
A plane-wave DFT calculation with GGA-PBE was carried out for crystalline HfTa4Re5 at its relaxed geometry.

The formation energy comes out at -0.407 eV/atom. The value obtained for the density is 18.36 Mg/m³. The value obtained for the volume is 16.58 A^3/atom.

The structure belongs to space group P4/mmm (No. 123); the cell edges are 3.208, 3.208 and 16.107 Å and the angles 90.00°, 90.00° and 90.00°. The inequivalent atoms are Hf at (0.000, 0.000, 0.000), Ta at (0.000, 0.000, 0.201), Ta at (0.000, 0.000, 0.400), Re at (0.500, 0.500, 0.105), Re at (0.500, 0.500, 0.302) and Re at (0.500, 0.500, 0.500).

Entry 2:
A plane-wave DFT calculation with GGA-PBE was carried out for crystalline HfTa2Re at its relaxed geometry.

The formation energy comes out at -0.107 eV/atom. The value obtained for the density is 16.99 Mg/m³. The value obtained for the volume is 17.75 A^3/atom.

The structure belongs to space group F-43m (No. 216); the cell edges are 6.573, 6.573 and 6.573 Å and the angles 90.00°, 90.00° and 90.00°. The inequivalent atoms are Hf at (0.000, 0.000, 0.000), Ta at (0.000, 0.000, 0.500), Ta at (0.250, 0.250, 0.250) and Re at (0.250, 0.250, 0.750).

Entry 3:
A plane-wave DFT calculation with GGA-PBE was carried out for crystalline HfTaRe2 at its relaxed geometry.

The formation energy comes out at -0.385 eV/atom. The value obtained for the density is 18.02 Mg/m³. The value obtained for the volume is 16.86 A^3/atom.

The structure belongs to space group Fm-3m (No. 225); the cell edges are 6.462, 6.462 and 6.462 Å and the angles 90.00°, 90.00° and 90.00°. The inequivalent atoms are Hf at (0.000, 0.000, 0.000), Ta at (0.000, 0.000, 0.500) and Re at (0.250, 0.250, 0.250).

Entry 4:
A plane-wave DFT calculation with GGA-PBE was carried out for crystalline HfTaRe2 at its relaxed geometry.

The formation energy comes out at -0.152 eV/atom. The value obtained for the density is 18.23 Mg/m³. The value obtained for the volume is 16.67 A^3/atom.

The structure belongs to space group F-43m (No. 216); the cell edges are 6.437, 6.437 and 6.437 Å and the angles 90.00°, 90.00° and 90.00°. The inequivalent atoms are Hf at (0.000, 0.000, 0.000), Ta at (0.250, 0.250, 0.750), Re at (0.000, 0.000, 0.500) and Re at (0.250, 0.250, 0.250).

Entry 5:
A plane-wave DFT calculation with GGA-PBE was carried out for crystalline HfTaRe2 at its relaxed geometry.

The formation energy comes out at -0.385 eV/atom. The value obtained for the density is 18.01 Mg/m³. The value obtained for the volume is 16.87 A^3/atom.

The structure belongs to space group Fm-3m (No. 225); the cell edges are 6.463, 6.463 and 6.463 Å and the angles 90.00°, 90.00° and 90.00°. The inequivalent atoms are Hf at (0.000, 0.000, 0.000), Ta at (0.000, 0.000, 0.500) and Re at (0.250, 0.250, 0.250).

Entry 6:
A plane-wave DFT calculation with GGA-PBE was carried out for crystalline HfReTc at its relaxed geometry.

The formation energy comes out at 0.323 eV/atom. The value obtained for the density is 13.33 Mg/m³. The value obtained for the volume is 19.21 A^3/atom.

The structure belongs to space group F-43m (No. 216); the cell edges are 6.132, 6.132 and 6.132 Å and the angles 90.00°, 90.00° and 90.00°. The inequivalent atoms are Hf at (0.000, 0.000, 0.000), Re at (0.000, 0.000, 0.500) and Tc at (0.250, 0.250, 0.750).

Entry 7:
A plane-wave DFT calculation with GGA-PBE was carried out for crystalline HfRe2Tc at its relaxed geometry.

The formation energy comes out at -0.123 eV/atom. The value obtained for the density is 16.89 Mg/m³. The value obtained for the volume is 15.95 A^3/atom.

The structure belongs to space group F-43m (No. 216); the cell edges are 6.342, 6.342 and 6.342 Å and the angles 90.00°, 90.00° and 90.00°. The inequivalent atoms are Hf at (0.000, 0.000, 0.000), Re at (0.000, 0.000, 0.500), Re at (0.250, 0.250, 0.250) and Tc at (0.250, 0.250, 0.750).

Entry 8:
A plane-wave DFT calculation with GGA-PBE was carried out for crystalline HfReTc at its relaxed geometry.

The formation energy comes out at 1.116 eV/atom. The value obtained for the density is 13.11 Mg/m³. The value obtained for the volume is 19.54 A^3/atom.

The structure belongs to space group F-43m (No. 216); the cell edges are 6.166, 6.166 and 6.166 Å and the angles 90.00°, 90.00° and 90.00°. The inequivalent atoms are Hf at (0.000, 0.000, 0.000), Re at (0.250, 0.250, 0.750) and Tc at (0.250, 0.250, 0.250).

Entry 9:
A plane-wave DFT calculation with GGA-PBE was carried out for crystalline HfReTc at its relaxed geometry.

The formation energy comes out at 1.116 eV/atom. The value obtained for the density is 13.11 Mg/m³. The value obtained for the volume is 19.54 A^3/atom.

The structure belongs to space group F-43m (No. 216); the cell edges are 6.166, 6.166 and 6.166 Å and the angles 90.00°, 90.00° and 90.00°. The inequivalent atoms are Hf at (0.000, 0.000, 0.000), Re at (0.250, 0.250, 0.750) and Tc at (0.250, 0.250, 0.250).

Entry 10:
A plane-wave DFT calculation with GGA-PBE was carried out for crystalline HfReTc2 at its relaxed geometry.

The formation energy comes out at -0.075 eV/atom. The value obtained for the density is 14.63 Mg/m³. The value obtained for the volume is 15.91 A^3/atom.

The structure belongs to space group F-43m (No. 216); the cell edges are 6.337, 6.337 and 6.337 Å and the angles 90.00°, 90.00° and 90.00°. The inequivalent atoms are Hf at (0.000, 0.000, 0.000), Re at (0.250, 0.250, 0.750), Tc at (0.000, 0.000, 0.500) and Tc at (0.250, 0.250, 0.250).

Entry 11:
A plane-wave DFT calculation with GGA-PBE was carried out for crystalline HfThRe at its relaxed geometry.

The formation energy comes out at 1.225 eV/atom. The value obtained for the density is 13.37 Mg/m³. The value obtained for the volume is 24.71 A^3/atom.

The structure belongs to space group F-43m (No. 216); the cell edges are 6.668, 6.668 and 6.668 Å and the angles 90.00°, 90.00° and 90.00°. The inequivalent atoms are Hf at (0.000, 0.000, 0.000), Th at (0.250, 0.250, 0.250) and Re at (0.000, 0.000, 0.500).

Entry 12:
A plane-wave DFT calculation with GGA-PBE was carried out for crystalline Hf2TlRe at its relaxed geometry.

The value obtained for the density is 16.15 Mg/m³. Its total DFT energy (no corrections) is -8.37 eV per atom. The value obtained for the volume is 19.21 A^3/atom.

The structure belongs to space group F-43m (No. 216); the cell edges are 6.749, 6.749 and 6.749 Å and the angles 90.00°, 90.00° and 90.00°. The inequivalent atoms are Hf at (0.000, 0.000, 0.000), Hf at (0.250, 0.250, 0.250), Tl at (0.000, 0.000, 0.500) and Re at (0.250, 0.250, 0.750).